# 1
## CsCdNiH2 (GGA-PBE)

Data for a relaxed CsCdNiH2 crystal.

Density of states at the Fermi level: 0.46 states/eV per atom

```
data_CsCdNiH2
_space_group_name_H-M_alt 'P 1'
_space_group_IT_number 1
_space_group_name_Hall 'P 1'
_cell_length_a 3.9601
_cell_length_b 3.9601
_cell_length_c 8.0799
_cell_angle_alpha 90.00
_cell_angle_beta 90.00
_cell_angle_gamma 90.00
loop_
_atom_site_label
_atom_site_type_symbol
_atom_site_fract_x
_atom_site_fract_y
_atom_site_fract_z
Cs1 Cs 0.0000 0.0000 0.0000
Cd1 Cd 0.0000 0.0000 0.5000
Ni1 Ni 0.5000 0.5000 0.0000
H1 H 0.0000 0.5000 0.5000
H2 H 0.5000 0.0000 0.5000
```

# 2
## Cs2CdPH (GGA-PBE)

Data for a relaxed Cs2CdPH crystal.

Density of states at the Fermi level: 0.00 states/eV per atom

```
data_Cs2CdPH
_space_group_name_H-M_alt 'P 1'
_space_group_IT_number 1
_space_group_name_Hall 'P 1'
_cell_length_a 7.7663
_cell_length_b 4.4261
_cell_length_c 10.5260
_cell_angle_alpha 90.00
_cell_angle_beta 110.15
_cell_angle_gamma 90.00
loop_
_atom_site_label
_atom_site_type_symbol
_atom_site_fract_x
_atom_site_fract_y
_atom_site_fract_z
Cs1 Cs 0.1790 0.2500 0.4071
Cs2 Cs 0.2202 0.2500 0.9464
Cs3 Cs 0.7798 0.7500 0.0536
Cs4 Cs 0.8210 0.7500 0.5929
Cd1 Cd 0.4679 0.7500 0.2509
Cd2 Cd 0.5321 0.2500 0.7491
P1 P 0.3581 0.7500 0.7140
P2 P 0.6419 0.2500 0.2860
H1 H 0.2056 0.7500 0.1815
H2 H 0.7944 0.2500 0.8185
```

# 3
## CsCdPH2 (GGA-PBE)

Data for a relaxed CsCdPH2 crystal.

Density of states at the Fermi level: 0.28 states/eV per atom

```
data_CsCdPH2
_space_group_name_H-M_alt 'P 1'
_space_group_IT_number 1
_space_group_name_Hall 'P 1'
_cell_length_a 4.5677
_cell_length_b 4.5677
_cell_length_c 5.2596
_cell_angle_alpha 90.00
_cell_angle_beta 90.00
_cell_angle_gamma 90.00
loop_
_atom_site_label
_atom_site_type_symbol
_atom_site_fract_x
_atom_site_fract_y
_atom_site_fract_z
Cs1 Cs 0.0000 0.0000 0.0000
Cd1 Cd 0.5000 0.5000 0.0000
P1 P 0.5000 0.5000 0.5000
H1 H 0.0000 0.5000 0.5000
H2 H 0.5000 0.0000 0.5000
```

# 4
## Cs2CdH6Pd (GGA-PBE)

Data for a relaxed Cs2CdH6Pd crystal.

```
data_Cs2CdH6Pd
_space_group_name_H-M_alt 'P 1'
_space_group_IT_number 1
_space_group_name_Hall 'P 1'
_cell_length_a 6.3630
_cell_length_b 6.3630
_cell_length_c 6.3630
_cell_angle_alpha 119.86
_cell_angle_beta 119.86
_cell_angle_gamma 90.25
loop_
_atom_site_label
_atom_site_type_symbol
_atom_site_fract_x
_atom_site_fract_y
_atom_site_fract_z
Cs1 Cs 0.2500 0.7500 0.5000
Cs2 Cs 0.7500 0.2500 0.5000
Cd1 Cd 0.0000 0.0000 0.0000
H1 H 0.3151 0.3151 0.0000
H2 H 0.3157 0.3157 0.6314
H3 H 0.3157 0.6843 0.0000
H4 H 0.6843 0.3157 0.0000
H5 H 0.6843 0.6843 0.3686
H6 H 0.6849 0.6849 0.0000
Pd1 Pd 0.5000 0.5000 0.0000
```

# 5
## Cs2RbCdH (GGA-PBE)

Data for a relaxed Cs2RbCdH crystal.

Density of states at the Fermi level: 0.75 states/eV per atom
Polymorph energy (0 for the lowest one): 0 meV per atom

```
data_Cs2RbCdH
_space_group_name_H-M_alt 'P 1'
_space_group_IT_number 1
_space_group_name_Hall 'P 1'
_cell_length_a 6.2522
_cell_length_b 6.2522
_cell_length_c 5.9871
_cell_angle_alpha 90.00
_cell_angle_beta 90.00
_cell_angle_gamma 90.00
loop_
_atom_site_label
_atom_site_type_symbol
_atom_site_fract_x
_atom_site_fract_y
_atom_site_fract_z
Cs1 Cs 0.0000 0.5000 0.0000
Cs2 Cs 0.5000 0.0000 0.0000
Rb1 Rb 0.0000 0.0000 0.5000
Cd1 Cd 0.5000 0.5000 0.5000
H1 H 0.0000 0.0000 0.0000
```

# 6
## Cs2RbCdH (GGA-PBE)

Data for a relaxed Cs2RbCdH crystal.

Density of states at the Fermi level: 0.22 states/eV per atom
Polymorph energy (0 for the lowest one): 79 meV per atom

```
data_Cs2RbCdH
_space_group_name_H-M_alt 'P 1'
_space_group_IT_number 1
_space_group_name_Hall 'P 1'
_cell_length_a 6.0535
_cell_length_b 6.0535
_cell_length_c 7.1227
_cell_angle_alpha 90.00
_cell_angle_beta 90.00
_cell_angle_gamma 90.00
loop_
_atom_site_label
_atom_site_type_symbol
_atom_site_fract_x
_atom_site_fract_y
_atom_site_fract_z
Cs1 Cs 0.0000 0.5000 0.0000
Cs2 Cs 0.5000 0.0000 0.0000
Rb1 Rb 0.0000 0.0000 0.5000
Cd1 Cd 0.5000 0.5000 0.5000
H1 H 0.5000 0.5000 0.0000
```

# 7
## CsRbCdH3 (GGA-PBE)

Data for a relaxed CsRbCdH3 crystal.

Density of states at the Fermi level: 0.23 states/eV per atom

```
data_CsRbCdH3
_space_group_name_H-M_alt 'P 1'
_space_group_IT_number 1
_space_group_name_Hall 'P 1'
_cell_length_a 6.5331
_cell_length_b 6.5331
_cell_length_c 8.9727
_cell_angle_alpha 90.00
_cell_angle_beta 90.00
_cell_angle_gamma 120.00
loop_
_atom_site_label
_atom_site_type_symbol
_atom_site_fract_x
_atom_site_fract_y
_atom_site_fract_z
Cs1 Cs 0.3333 0.6667 0.2500
Cs2 Cs 0.6667 0.3333 0.7500
Rb1 Rb 0.0000 0.0000 0.0000
Rb2 Rb 0.0000 0.0000 0.5000
Cd1 Cd 0.3333 0.6667 0.7500
Cd2 Cd 0.6667 0.3333 0.2500
H1 H 0.1739 0.3479 0.7500
H2 H 0.1739 0.8261 0.7500
H3 H 0.3479 0.1739 0.2500
H4 H 0.6521 0.8261 0.7500
H5 H 0.8261 0.1739 0.2500
H6 H 0.8261 0.6521 0.2500
```

# 8
## Cs2RbCd2H6 (GGA-PBE)

Data for a relaxed Cs2RbCd2H6 crystal.

Density of states at the Fermi level: 0.15 states/eV per atom

```
data_Cs2RbCd2H6
_space_group_name_H-M_alt 'P 1'
_space_group_IT_number 1
_space_group_name_Hall 'P 1'
_cell_length_a 6.7593
_cell_length_b 6.7593
_cell_length_c 8.3173
_cell_angle_alpha 118.05
_cell_angle_beta 118.05
_cell_angle_gamma 57.00
loop_
_atom_site_label
_atom_site_type_symbol
_atom_site_fract_x
_atom_site_fract_y
_atom_site_fract_z
Cs1 Cs 0.2032 0.2032 0.1874
Cs2 Cs 0.7968 0.7968 0.8126
Rb1 Rb 0.0000 0.0000 0.5000
Cd1 Cd 0.4667 0.4667 0.7951
Cd2 Cd 0.5333 0.5333 0.2049
H1 H 0.2102 0.6862 0.2001
H2 H 0.2860 0.2860 0.6374
H3 H 0.3138 0.7898 0.7999
H4 H 0.6862 0.2102 0.2001
H5 H 0.7140 0.7140 0.3626
H6 H 0.7898 0.3138 0.7999
```

Number 1: V 126.7 Å³ per cell, size of the total moment 0.0 Bohr magnetons per cell, total DFT energy (no corrections) -1.948 eV per atom. Number 2: V 339.7 Å³ per cell, size of the total moment 0.0 Bohr magnetons per cell, total DFT energy (no corrections) -2.532 eV per atom. Number 3: V 109.7 Å³ per cell, size of the total moment 0.0 Bohr magnetons per cell, total DFT energy (no corrections) -2.238 eV per atom. Number 4: V 182.6 Å³ per cell, size of the total moment 0.0 Bohr magnetons per cell, total DFT energy (no corrections) -2.947 eV per atom. Number 5: V 234.0 Å³ per cell, size of the total moment 0.0 Bohr magnetons per cell, total DFT energy (no corrections) -1.410 eV per atom. Number 6: V 261.0 Å³ per cell, size of the total moment 0.0 Bohr magnetons per cell, total DFT energy (no corrections) -1.331 eV per atom. Number 7: V 331.7 Å³ per cell, size of the total moment 1.4 Bohr magnetons per cell, total DFT energy (no corrections) -2.187 eV per atom. Number 8: V 269.2 Å³ per cell, size of the total moment 0.9 Bohr magnetons per cell, total DFT energy (no corrections) -2.324 eV per atom.